Pm8Tm6Tl: optimized geometry, PBE-GGA.

VASP energy ... -0.161 hartree per atom
Mass density ... 8.1 g/cm³
Calculated volume ... 489 Å³/f.u.
DOS at the Fermi energy ... 1.308 states/eV/atom
SG ... No. 147

abc: 6.4198 9.3803 9.3803
angles: 120.00 90.00 90.00
Last column: nearest neighbours and their distance in Å.
Atoms (fractional coordinates):
Pm 0.8178 0.0434 0.2733  1 Tl 3.14, 3 Pm 3.31-3.34, 2 Tm 3.37-3.48
Pm 0.8178 0.7267 0.7701  1 Tl 3.14, 3 Pm 3.31-3.34, 2 Tm 3.37-3.48
Pm 0.8178 0.2299 0.9566  1 Tl 3.14, 3 Pm 3.31-3.34, 2 Tm 3.37-3.48
Pm 0.1822 0.9566 0.7267  1 Tl 3.14, 3 Pm 3.31-3.34, 2 Tm 3.37-3.48
Pm 0.1822 0.2733 0.2299  1 Tl 3.14, 3 Pm 3.31-3.34, 2 Tm 3.37-3.48
Pm 0.1822 0.7701 0.0434  1 Tl 3.14, 3 Pm 3.31-3.34, 2 Tm 3.37-3.48
Pm 0.8225 0.3333 0.6667  3 Pm 3.31
Pm 0.1775 0.6667 0.3333  3 Pm 3.31
Tm 0.6723 0.6457 0.0988  3 Tm 3.28-3.65, 5 Pm 3.37-3.65
Tm 0.6723 0.9012 0.5469  3 Tm 3.28-3.65, 5 Pm 3.37-3.65
Tm 0.6723 0.4531 0.3543  3 Tm 3.28-3.65, 5 Pm 3.37-3.65
Tm 0.3277 0.3543 0.9012  3 Tm 3.28-3.65, 5 Pm 3.37-3.65
Tm 0.3277 0.0988 0.4531  3 Tm 3.28-3.65, 5 Pm 3.37-3.65
Tm 0.3277 0.5469 0.6457  3 Tm 3.28-3.65, 5 Pm 3.37-3.65
Tl 0.5000 0.0000 0.0000  6 Pm 3.14

=====

FeRe2Cl: optimized geometry, PBE-GGA.

VASP energy ... -0.292 hartree per atom
ΔE_f (raw) ... 3.39 eV per formula unit
Mass density ... 13.2 g/cm³
Calculated volume ... 58 Å³/f.u.
DOS at the Fermi energy ... 0.958 states/eV/atom
SG ... No. 71

abc: 5.2783 5.2783 5.2783
angles: 149.12 128.73 61.07
Last column: nearest neighbours and their distance in Å.
Atoms (fractional coordinates):
Re 0.9836 0.9836 0.0000  2 Cl 2.55, 6 Re 2.70-2.81, 2 Fe 2.80
Re 0.5164 0.5164 0.0000  2 Cl 2.55, 6 Re 2.70-2.81, 2 Fe 2.80
Fe 0.2500 0.7500 0.5000  4 Cl 2.68, 4 Re 2.80, 2 Fe 2.81
Cl 0.7500 0.2500 0.5000  4 Re 2.55, 4 Fe 2.68, 2 Cl 2.81

=====

Tc2Pb2Se: optimized geometry, PBE-GGA.

VASP energy ... -0.216 hartree per atom
ΔE_f (raw) ... 2.25 eV per formula unit
Mass density ... 10.1 g/cm³
Calculated volume ... 113 Å³/f.u.
DOS at the Fermi energy ... 0.917 states/eV/atom
SG ... No. 139

abc: 9.1350 9.1350 9.1350
angles: 157.31 157.31 32.30
Last column: nearest neighbours and their distance in Å.
Atoms (fractional coordinates):
Tc 0.2500 0.7500 0.5000  4 Tc 2.54
Tc 0.7500 0.2500 0.5000  4 Tc 2.54
Pb 0.6067 0.6067 0.0000  4 Tc 3.09, 4 Se 3.16
Pb 0.3933 0.3933 0.0000  4 Tc 3.09, 4 Se 3.16
Se 0.0000 0.0000 0.0000  8 Pb 3.16